1.
VASP calculation (PBEsol) on ScPb after structural relaxation.

abc: 6.226 9.066 10.001
angles: 90.00 90.00 90.00
Fractional positions:
Pb1 0.750 0.869 0.167
Pb2 0.250 0.131 0.833
Pb3 0.750 0.369 0.833
Pb4 0.250 0.631 0.167
Pb5 0.750 0.452 0.411
Pb6 0.250 0.548 0.589
Pb7 0.750 0.952 0.589
Pb8 0.250 0.048 0.411
Pb9 0.000 0.250 0.090
Pb10 0.500 0.750 0.910
Pb11 0.000 0.750 0.910
Pb12 0.500 0.250 0.090
Sc1 0.750 0.533 0.111
Sc2 0.250 0.467 0.889
Sc3 0.750 0.033 0.889
Sc4 0.250 0.967 0.111
Sc5 0.750 0.135 0.326
Sc6 0.250 0.865 0.674
Sc7 0.750 0.635 0.674
Sc8 0.250 0.365 0.326
Sc9 0.000 0.250 0.604
Sc10 0.500 0.750 0.396
Sc11 0.000 0.750 0.396
Sc12 0.500 0.250 0.604

ΔH_f (0 K) ... -0.441 eV per atom
Total magnetic moment ... 0.0 μB/cell
SG ... Pbcm

2.
VASP calculation (PBEsol) on CaLa2Au after structural relaxation.

abc: 3.670 3.670 8.902
angles: 90.00 90.00 90.00
Fractional positions:
Ca1 0.500 0.500 0.691
Au1 0.000 0.000 0.497
La1 0.000 0.000 0.016
La2 0.500 0.500 0.296

ΔH_f (0 K) ... -0.354 eV per atom
Total magnetic moment ... 0.0 μB/cell
SG ... P4mm

3.
VASP calculation (PBEsol) on NbAg3Pb after structural relaxation.

abc: 5.072 5.072 5.072
angles: 90.00 90.00 90.00
Fractional positions:
Pb1 0.500 0.500 0.500
Nb1 0.000 0.000 0.000
Ag1 0.000 0.500 0.000
Ag2 0.000 0.000 0.500
Ag3 0.500 0.000 0.000

ΔH_f (0 K) ... 1.316 eV per atom
Total magnetic moment ... 0.0 μB/cell
SG ... Pm-3m

4.
VASP calculation (PBEsol) on Ca3FeBr after structural relaxation.

abc: 5.431 5.431 5.431
angles: 90.00 90.00 90.00
Site moments in Bohr magnetons follow the coordinates.
Fractional positions:
Ca1 0.000 0.500 0.000  -0.14
Ca2 0.000 0.000 0.500  -0.14
Ca3 0.500 0.000 0.000  -0.14
Fe1 0.500 0.500 0.500  3.16
Br1 0.000 0.000 0.000  -0.03

Total magnetic moment ... 1.5 μB/cell
ΔE_f (raw) ... 247 meV/atom
SG ... Pm-3m

5.
VASP calculation (PBEsol) on Tl2SbPb after structural relaxation.

abc: 3.264 5.443 6.450
angles: 90.00 93.67 90.00
Fractional positions:
Pb1 0.346 0.000 0.492
Sb1 0.409 0.500 0.762
Tl1 0.982 0.000 0.983
Tl2 0.763 0.500 0.263

Total magnetic moment ... 0.0 μB/cell
ΔE_f (raw) ... 17 meV/atom
SG ... Pm

6.
VASP calculation (PBEsol) on KGaNiBi2 after structural relaxation.

abc: 5.032 5.032 5.558
angles: 90.00 90.00 90.00
Fractional positions:
Ni1 0.000 0.000 0.000
K1 0.000 0.000 0.500
Bi1 0.000 0.500 0.000
Bi2 0.500 0.000 0.000
Ga1 0.500 0.500 0.500

ΔH_f (0 K) ... 0.240 eV per atom
Total magnetic moment ... 0.0 μB/cell
SG ... P4/mmm

7.
VASP calculation (PBEsol) on NiOsCl2 after structural relaxation.

abc: 2.841 3.884 6.408
angles: 90.00 90.00 90.00
Fractional positions:
Ni1 0.000 0.000 0.585
Os1 0.500 0.500 0.676
Cl1 0.000 0.000 0.917
Cl2 0.500 0.500 0.321

Total magnetic moment ... 0.0 μB/cell
ΔE_f (raw) ... 594 meV/atom
SG ... Pmm2

8.
VASP calculation (PBEsol) on Zr2TlNi after structural relaxation.

abc: 3.046 3.046 8.086
angles: 90.00 90.00 90.00
Fractional positions:
Ni1 0.500 0.500 0.000
Tl1 0.500 0.500 0.500
Zr1 0.000 0.000 0.790
Zr2 0.000 0.000 0.210

ΔH_f (0 K) ... -0.234 eV per atom
Total magnetic moment ... 0.0 μB/cell
SG ... P4/mmm

9.
VASP calculation (PBEsol) on YRhNF2 after structural relaxation.

abc: 3.706 4.309 4.309
angles: 90.00 90.00 90.00
Fractional positions:
Y1 0.500 0.500 0.500
N1 0.500 0.000 0.000
Rh1 0.000 0.000 0.000
F1 0.000 0.000 0.500
F2 0.000 0.500 0.000

Total magnetic moment ... 0.0 μB/cell
ΔE_f (raw) ... -1069 meV/atom
SG ... P4/mmm

10.
VASP calculation (PBEsol) on SbTe2RuI after structural relaxation.

abc: 5.124 5.192 5.192
angles: 90.00 90.00 90.00
Fractional positions:
I1 0.500 0.500 0.500
Sb1 0.500 0.000 0.000
Te1 0.000 0.000 0.500
Te2 0.000 0.500 0.000
Ru1 0.000 0.000 0.000

Total magnetic moment ... 0.0 μB/cell
ΔE_f (raw) ... 369 meV/atom
SG ... P4/mmm

11.
VASP calculation (PBEsol) on LiBe4Pt after structural relaxation.

abc: 4.291 4.291 4.291
angles: 60.00 60.00 60.00
Fractional positions:
Be1 0.876 0.375 0.375
Be2 0.375 0.375 0.375
Be3 0.375 0.375 0.876
Be4 0.375 0.876 0.375
Pt1 0.000 0.000 0.000
Li1 0.750 0.750 0.750

ΔH_f (0 K) ... -0.433 eV per atom
Total magnetic moment ... 0.0 μB/cell
SG ... F-43m

12.
VASP calculation (PBEsol) on CsHfS2Cl after structural relaxation.

abc: 4.958 4.958 5.133
angles: 90.00 90.00 90.00
Fractional positions:
Cs1 0.500 0.500 0.500
S1 0.000 0.500 0.000
S2 0.500 0.000 0.000
Hf1 0.000 0.000 0.000
Cl1 0.000 0.000 0.500

Total magnetic moment ... 0.0 μB/cell
ΔE_f (raw) ... -1570 meV/atom
SG ... P4/mmm